[1]
VASP calculation (PBE) on a relaxed PaNb2V crystal.

total magnetic moment = 0.00 μB/f.u.
density of states at the Fermi level = 5.71 states/eV per cell

Cell and atoms, written as extended XYZ:
```
4
Lattice="3.3550 0.0000 0.0000 0.0000 3.3550 0.0000 0.0000 0.0000 6.6109" Properties=species:S:1:pos:R:3 pbc="T T T"
Pa 0.0000 0.0000 0.0000
Nb 1.6775 1.6775 1.7590
Nb 1.6775 1.6775 4.8519
V 0.0000 0.0000 3.3054
```


[2]
VASP calculation (PBE) on a relaxed PaNb2V crystal.

total magnetic moment = 0.00 μB/f.u.
density of states at the Fermi level = 4.59 states/eV per cell

Cell and atoms, written as extended XYZ:
```
4
Lattice="1.5200 0.8776 9.6493 -1.5200 0.8776 9.6493 0.0000 -1.7552 9.6493" Properties=species:S:1:pos:R:3 pbc="T T T"
Pa 0.0000 0.0000 0.0000
Nb 0.0000 0.0000 2.8214
Nb 0.0000 0.0000 26.1265
V 0.0000 0.0000 14.4739
```


Number 1: formation enthalpy at 0 K 0.154 eV per atom. Number 2: formation enthalpy at 0 K 0.408 eV per atom.